No. 1
Here is crystalline Cs2AlTlBr5 at its relaxed geometry from Alexandria. Energies are from GGA-PBE.

a = 7.665 Å, b = 7.665 Å, c = 7.665 Å
α = 115.11°, β = 115.11°, γ = 98.71°
Atoms (fractional coordinates):
Cs 0.000 0.500 0.500
Cs 0.500 0.000 0.500
Al 0.264 0.264 0.000
Tl 0.838 0.838 0.000
Br 0.016 0.016 0.547
Br 0.016 0.469 0.000
Br 0.469 0.016 0.000
Br 0.469 0.469 0.453
Br 0.507 0.507 0.000

E_form (uncorrected) (eV per formula unit): -10.89
SG: I4mm, No. 107
DOS at the Fermi energy (states/eV/f.u.): 1.625


No. 2
Here is crystalline K2BeCr at its relaxed geometry from Alexandria. Energies are from GGA-PBE.

a = 5.503 Å, b = 5.503 Å, c = 5.503 Å
α = 60.00°, β = 60.00°, γ = 60.00°
Atoms (fractional coordinates):
K 0.000 0.000 0.000
K 0.250 0.250 0.250
Be 0.500 0.500 0.500
Cr 0.750 0.750 0.750

SG: F-43m, No. 216
Formation enthalpy at 0 K (eV per atom): 1.13
DOS at the Fermi energy (states/eV/f.u.): 3.543


No. 3
Here is crystalline La3PuS4 at its relaxed geometry from Alexandria. Energies are from GGA-PBE.

a = 5.826 Å, b = 5.826 Å, c = 5.826 Å
α = 90.00°, β = 90.00°, γ = 90.00°
Atoms (fractional coordinates):
La 0.000 0.000 0.500
La 0.000 0.500 0.000
La 0.500 0.000 0.000
Pu 0.500 0.500 0.500
S 0.000 0.000 0.000
S 0.000 0.500 0.500
S 0.500 0.000 0.500
S 0.500 0.500 0.000

E_form (uncorrected) (eV per formula unit): -16.41
SG: Pm-3m, No. 221
DOS at the Fermi energy (states/eV/f.u.): 10.473


No. 4
Here is crystalline Pu6Te5Br at its relaxed geometry from Alexandria. Energies are from GGA-PBE.

a = 7.632 Å, b = 7.632 Å, c = 7.643 Å
α = 99.62°, β = 99.62°, γ = 120.17°
Atoms (fractional coordinates):
Pu 0.081 0.410 0.746
Pu 0.245 0.245 0.249
Pu 0.410 0.081 0.746
Pu 0.590 0.919 0.254
Pu 0.755 0.755 0.751
Pu 0.919 0.590 0.254
Te 0.170 0.830 0.000
Te 0.334 0.666 0.500
Te 0.500 0.500 0.000
Te 0.666 0.334 0.500
Te 0.830 0.170 0.000
Br 0.000 0.000 0.500

E_form (uncorrected) (eV per formula unit): -12.47
SG: C2/m, No. 12
DOS at the Fermi energy (states/eV/f.u.): 62.286